(1)
Sm3Dy7Th | PBE | relaxed Values from VASP.

The structure in Quantum ESPRESSO input format:
```
&SYSTEM
  ibrav = 0, nat = 22, ntyp = 3
/
ATOMIC_SPECIES
Sm 150.36 Sm.upf
Dy 162.50 Dy.upf
Th 232.04 Th.upf
ATOMIC_POSITIONS crystal
Sm 0.000 0.000 0.000
Sm 0.000 0.000 0.500
Sm 0.278 0.391 0.750
Sm 0.391 0.278 0.250
Sm 0.609 0.722 0.750
Sm 0.722 0.609 0.250
Dy 0.105 0.603 0.061
Dy 0.105 0.603 0.439
Dy 0.115 0.218 0.250
Dy 0.218 0.115 0.750
Dy 0.249 0.751 0.750
Dy 0.397 0.895 0.061
Dy 0.397 0.895 0.439
Dy 0.603 0.105 0.561
Dy 0.603 0.105 0.939
Dy 0.751 0.249 0.250
Dy 0.782 0.885 0.250
Dy 0.885 0.782 0.750
Dy 0.895 0.397 0.561
Dy 0.895 0.397 0.939
Th 0.500 0.500 0.000
Th 0.500 0.500 0.500
CELL_PARAMETERS angstrom
8.421 -5.319 0.000
8.421 5.319 0.000
0.000 0.000 8.268
```

Calculated values
DFT total energy: -4.594 eV/atom
E_form: 0.296 eV per atom
V: 33.7 Å³ per atom
Density: 8.16 g/cm3
Size of the total moment: 0.000 μB/f.u.

(2)
MgCd5Ag6 | PBE | relaxed Values from VASP.

The structure in Quantum ESPRESSO input format:
```
&SYSTEM
  ibrav = 0, nat = 12, ntyp = 3
/
ATOMIC_SPECIES
Mg 24.30 Mg.upf
Cd 112.41 Cd.upf
Ag 107.87 Ag.upf
ATOMIC_POSITIONS crystal
Mg 0.000 0.000 0.000
Cd 0.000 0.000 0.500
Cd 0.333 0.667 0.000
Cd 0.333 0.667 0.500
Cd 0.667 0.333 0.000
Cd 0.667 0.333 0.500
Ag 0.163 0.835 0.752
Ag 0.165 0.837 0.248
Ag 0.500 0.500 0.244
Ag 0.500 0.500 0.756
Ag 0.835 0.163 0.752
Ag 0.837 0.165 0.248
CELL_PARAMETERS angstrom
2.330 -7.066 0.000
2.330 7.066 0.000
-0.091 0.000 7.008
```

Calculated values
DFT total energy: -2.024 eV/atom
E_form: -0.084 eV per atom
V: 19.2 Å³ per atom
Density: 8.88 g/cm3
Size of the total moment: 0.000 μB/f.u.

(3)
CuN | PBE | relaxed Values from VASP.

The structure in Quantum ESPRESSO input format:
```
&SYSTEM
  ibrav = 0, nat = 2, ntyp = 2
/
ATOMIC_SPECIES
Cu 63.55 Cu.upf
N 14.01 N.upf
ATOMIC_POSITIONS crystal
Cu 0.000 0.000 0.000
N 0.000 0.419 0.419
CELL_PARAMETERS angstrom
2.894 0.000 0.000
0.000 1.795 2.284
0.000 -1.795 2.284
```

Calculated values
DFT total energy: -4.995 eV/atom
Formation energy without anion corrections: 2.43 eV per formula unit
V: 11.9 Å³ per atom
Density: 5.43 g/cm3
Size of the total moment: 0.000 μB/f.u.

(4)
PmTm2S | PBE | relaxed Values from VASP.

The structure in Quantum ESPRESSO input format:
```
&SYSTEM
  ibrav = 0, nat = 4, ntyp = 3
/
ATOMIC_SPECIES
Pm 145.00 Pm.upf
Tm 168.93 Tm.upf
S 32.06 S.upf
ATOMIC_POSITIONS crystal
Pm 0.000 0.000 0.000
Tm 0.113 0.113 0.113
Tm 0.887 0.887 0.887
S 0.500 0.500 0.500
CELL_PARAMETERS angstrom
1.802 1.040 10.089
-1.802 1.040 10.089
0.000 -2.080 10.089
```

Calculated values
DFT total energy: -5.185 eV/atom
Formation energy without anion corrections: -2.92 eV per formula unit
V: 28.4 Å³ per atom
Density: 7.54 g/cm3
Size of the total moment: 0.001 μB/f.u.